# 1
VASP calculation (GGA-PBE) on an optimized crystal structure of LiPmSeO6.

## Properties
Crystal system: trigonal
Raw formation energy (meV/atom): -1394
Fermi-level density of states (states/eV/atom): 0.578
Calculated volume (Å³/atom): 12.7

The structure in CIF format:
```
data_LiPmSeO6
_chemical_formula_sum 'Li1 Pm1 Se1 O6'
_symmetry_space_group_name_H-M 'P 3 1 2'
_symmetry_Int_Tables_number 149
_cell_length_a 5.1722
_cell_length_b 5.1722
_cell_length_c 4.9380
_cell_angle_alpha 90.00
_cell_angle_beta 90.00
_cell_angle_gamma 120.00
loop_
_symmetry_equiv_pos_as_xyz
'x,y,z'
'-y,x-y,z'
'-x+y,-x,z'
'-y,-x,-z'
'-x+y,y,-z'
'x,x-y,-z'
loop_
_atom_site_label
_atom_site_type_symbol
_atom_site_fract_x
_atom_site_fract_y
_atom_site_fract_z
Li1 Li 0.0000 0.0000 0.0000
Pm1 Pm 0.6667 0.3333 0.5000
Se1 Se 0.3333 0.6667 0.0000
O1 O 0.0503 0.3800 0.2076
```



# 2
VASP calculation (GGA-PBE) on an optimized crystal structure of Li2Pm3Se2O4.

## Properties
Crystal system: tetragonal
Raw formation energy (meV/atom): -2363
Fermi-level density of states (states/eV/atom): 0.355
Calculated volume (Å³/atom): 15.2

The structure in CIF format:
```
data_Li2Pm3Se2O4
_chemical_formula_sum 'Li4 Pm6 Se4 O8'
_symmetry_space_group_name_H-M 'I 4/m m m'
_symmetry_Int_Tables_number 139
_symmetry_space_group_name_Hall '-I 4 2'
_cell_length_a 3.928
_cell_length_b 3.928
_cell_length_c 21.621
_cell_angle_alpha 90.00
_cell_angle_beta 90.00
_cell_angle_gamma 90.00
loop_
_atom_site_label
_atom_site_type_symbol
_atom_site_fract_x
_atom_site_fract_y
_atom_site_fract_z
Li1 Li 0.000 0.000 0.079
Pm1 Pm 0.000 0.000 0.354
Pm2 Pm 0.000 0.000 0.500
Se1 Se 0.000 0.000 0.204
O1 O 0.000 0.500 0.073
```



# 3
VASP calculation (GGA-PBE) on an optimized crystal structure of Li2Pm3Se3O2.

## Properties
Crystal system: tetragonal
Raw formation energy (meV/atom): -2077
Fermi-level density of states (states/eV/atom): 0.181
Calculated volume (Å³/atom): 21.5

The structure in CIF format:
```
data_Li2Pm3Se3O2
_chemical_formula_sum 'Li4 Pm6 Se6 O4'
_symmetry_space_group_name_H-M 'I 4/m m m'
_symmetry_Int_Tables_number 139
_symmetry_space_group_name_Hall '-I 4 2'
_cell_length_a 4.114
_cell_length_b 4.114
_cell_length_c 25.370
_cell_angle_alpha 90.00
_cell_angle_beta 90.00
_cell_angle_gamma 90.00
loop_
_atom_site_label
_atom_site_type_symbol
_atom_site_fract_x
_atom_site_fract_y
_atom_site_fract_z
Li1 Li 0.000 0.500 0.250
Pm1 Pm 0.000 0.000 0.000
Pm2 Pm 0.000 0.000 0.362
Se1 Se 0.000 0.000 0.118
Se2 Se 0.000 0.000 0.500
O1 O 0.000 0.000 0.280
```



# 4
VASP calculation (GGA-PBE) on an optimized crystal structure of LiPm2SiO5.

## Properties
Crystal system: tetragonal
Raw formation energy (meV/atom): -2534
Fermi-level density of states (states/eV/atom): 0.208
Calculated volume (Å³/atom): 13.7

The structure in CIF format:
```
data_LiPm2SiO5
_chemical_formula_sum 'Li2 Pm4 Si2 O10'
_symmetry_space_group_name_H-M 'P 4/m b m'
_symmetry_Int_Tables_number 127
_symmetry_space_group_name_Hall '-P 4 2ab'
_cell_length_a 6.770
_cell_length_b 6.770
_cell_length_c 5.371
_cell_angle_alpha 90.00
_cell_angle_beta 90.00
_cell_angle_gamma 90.00
loop_
_atom_site_label
_atom_site_type_symbol
_atom_site_fract_x
_atom_site_fract_y
_atom_site_fract_z
Li1 Li 0.000 0.000 0.000
Pm1 Pm 0.180 0.320 0.500
Si1 Si 0.000 0.500 0.000
O1 O 0.000 0.000 0.500
O2 O 0.126 0.626 0.230
```



# 5
VASP calculation (GGA-PBE) on an optimized crystal structure of LiPm2SnO5.

## Properties
Crystal system: tetragonal
Raw formation energy (meV/atom): -2213
Fermi-level density of states (states/eV/atom): 0.246
Calculated volume (Å³/atom): 15.6

The structure in CIF format:
```
data_LiPm2SnO5
_chemical_formula_sum 'Li2 Pm4 Sn2 O10'
_symmetry_space_group_name_H-M 'P 4/m b m'
_symmetry_Int_Tables_number 127
_symmetry_space_group_name_Hall '-P 4 2ab'
_cell_length_a 6.752
_cell_length_b 6.752
_cell_length_c 6.179
_cell_angle_alpha 90.00
_cell_angle_beta 90.00
_cell_angle_gamma 90.00
loop_
_atom_site_label
_atom_site_type_symbol
_atom_site_fract_x
_atom_site_fract_y
_atom_site_fract_z
Li1 Li 0.000 0.000 0.000
Pm1 Pm 0.177 0.323 0.500
Sn1 Sn 0.000 0.500 0.000
O1 O 0.000 0.000 0.500
O2 O 0.142 0.642 0.257
```



# 6
VASP calculation (GGA-PBE) on an optimized crystal structure of Li2Pm2SnO6.

## Properties
Crystal system: trigonal
Raw formation energy (meV/atom): -2304
Fermi-level density of states (states/eV/atom): 0.000
Calculated volume (Å³/atom): 12.8

The structure in CIF format:
```
data_Li2Pm2SnO6
_chemical_formula_sum 'Li2 Pm2 Sn1 O6'
_symmetry_space_group_name_H-M 'P -3'
_symmetry_Int_Tables_number 147
_cell_length_a 5.4822
_cell_length_b 5.4822
_cell_length_c 5.3894
_cell_angle_alpha 90.00
_cell_angle_beta 90.00
_cell_angle_gamma 120.00
loop_
_symmetry_equiv_pos_as_xyz
'x,y,z'
'-x,-y,-z'
'-y,x-y,z'
'y,-x+y,-z'
'-x+y,-x,z'
'x-y,x,-z'
loop_
_atom_site_label
_atom_site_type_symbol
_atom_site_fract_x
_atom_site_fract_y
_atom_site_fract_z
Li1 Li 0.3333 0.6667 0.4928
Pm1 Pm 0.3333 0.6667 0.9922
Sn1 Sn 0.0000 0.0000 0.5000
O1 O 0.0024 0.6749 0.2748
```



# 7
VASP calculation (GGA-PBE) on an optimized crystal structure of SrLiPm2O5.

## Properties
Crystal system: tetragonal
Raw formation energy (meV/atom): -2722
Fermi-level density of states (states/eV/atom): 0.723
Calculated volume (Å³/atom): 13.8

The structure in CIF format:
```
data_SrLiPm2O5
_chemical_formula_sum 'Sr4 Li4 Pm8 O20'
_symmetry_space_group_name_H-M 'I 4/m c m'
_symmetry_Int_Tables_number 140
_symmetry_space_group_name_Hall '-I 4 2c'
_cell_length_a 6.635
_cell_length_b 6.635
_cell_length_c 11.287
_cell_angle_alpha 90.00
_cell_angle_beta 90.00
_cell_angle_gamma 90.00
loop_
_atom_site_label
_atom_site_type_symbol
_atom_site_fract_x
_atom_site_fract_y
_atom_site_fract_z
Sr1 Sr 0.000 0.000 0.250
Li1 Li 0.000 0.500 0.250
Pm1 Pm 0.167 0.333 0.000
O1 O 0.000 0.000 0.000
O2 O 0.147 0.353 0.368
```



# 8
VASP calculation (GGA-PBE) on an optimized crystal structure of SrLiPmO3.

## Properties
Crystal system: monoclinic
Raw formation energy (meV/atom): -2736
Fermi-level density of states (states/eV/atom): 0.000
Calculated volume (Å³/atom): 15.1

The structure in CIF format:
```
data_SrLiPmO3
_chemical_formula_sum 'Sr2 Li2 Pm2 O6'
_symmetry_space_group_name_H-M 'P 1 21/m 1'
_symmetry_Int_Tables_number 11
_cell_length_a 7.177
_cell_length_b 3.486
_cell_length_c 7.354
_cell_angle_alpha 90.00
_cell_angle_beta 100.30
_cell_angle_gamma 90.00
loop_
_symmetry_equiv_pos_as_xyz
'x,y,z'
'-x,-y,-z'
'-x,y+1/2,-z'
'x,-y+1/2,z'
loop_
_atom_site_label
_atom_site_type_symbol
_atom_site_fract_x
_atom_site_fract_y
_atom_site_fract_z
Sr1 Sr 0.219 0.250 0.173
Li1 Li 0.412 0.750 0.920
Pm1 Pm 0.187 0.250 0.656
O1 O 0.140 0.750 0.867
O2 O 0.158 0.750 0.428
O3 O 0.494 0.250 0.823
```



# 9
VASP calculation (GGA-PBE) on an optimized crystal structure of LiPm2TaO6.

## Properties
Crystal system: trigonal
Raw formation energy (meV/atom): -3058
Fermi-level density of states (states/eV/atom): 0.000
Calculated volume (Å³/atom): 13.2

The structure in CIF format:
```
data_LiPm2TaO6
_chemical_formula_sum 'Li3 Pm6 Ta3 O18'
_symmetry_space_group_name_H-M 'R 3'
_symmetry_Int_Tables_number 146
_symmetry_space_group_name_Hall 'R 3'
_cell_length_a 5.6696
_cell_length_b 5.6696
_cell_length_c 14.2207
_cell_angle_alpha 90.00
_cell_angle_beta 90.00
_cell_angle_gamma 120.00
loop_
_atom_site_label
_atom_site_type_symbol
_atom_site_fract_x
_atom_site_fract_y
_atom_site_fract_z
Li1 Li 0.0000 0.0000 0.0000
Pm1 Pm 0.0000 0.0000 0.2675
Pm2 Pm 0.0000 0.0000 0.7671
Ta1 Ta 0.0000 0.0000 0.4910
O1 O 0.0045 0.4038 0.2259
O2 O 0.0791 0.7097 0.0648
```



# 10
VASP calculation (GGA-PBE) on an optimized crystal structure of LiPmTcO6.

## Properties
Crystal system: triclinic
Raw formation energy (meV/atom): -1802
Calculated volume (Å³/atom): 13.1

The structure in CIF format:
```
data_LiPmTcO6
_chemical_formula_sum 'Li1 Pm1 Tc1 O6'
_symmetry_space_group_name_H-M 'P 1'
_symmetry_Int_Tables_number 1
_cell_length_a 5.107
_cell_length_b 5.111
_cell_length_c 5.133
_cell_angle_alpha 61.68
_cell_angle_beta 87.91
_cell_angle_gamma 89.21
loop_
_symmetry_equiv_pos_as_xyz
'x,y,z'
loop_
_atom_site_label
_atom_site_type_symbol
_atom_site_fract_x
_atom_site_fract_y
_atom_site_fract_z
Li1 Li 0.000 0.000 0.000
Pm1 Pm 0.552 0.695 0.671
Tc1 Tc 0.053 0.335 0.353
O1 O 0.219 0.041 0.318
O2 O 0.223 0.642 0.035
O3 O 0.227 0.370 0.632
O4 O 0.779 0.354 0.062
O5 O 0.781 0.654 0.291
O6 O 0.804 0.080 0.640
```